No. 1
Compound: SnTePd2
Source: the Alexandria database
Functional: GGA-PBE
Structure: optimized geometry

Lattice parameters (Å, degrees): 6.1521 6.1521 6.1521 39.83 39.83 39.83
Closest atoms and distances in Å follow each position.
Fractional coordinates of all 4 atoms:
Sn 0.0000 0.0000 0.0000  6 Pd 2.71
Te 0.5000 0.5000 0.5000  6 Pd 2.90
Pd 0.2612 0.2612 0.2612  3 Sn 2.71, 3 Te 2.90
Pd 0.7388 0.7388 0.7388  3 Sn 2.71, 3 Te 2.90

## Properties
E_form (uncorrected)	-6.1	kcal/mol of atoms
polymorph energy (0 for the lowest one)	0.1911	eV per atom
space group	R-3m (166)

---

No. 2
Compound: NbSbPbO6
Source: the Alexandria database
Functional: GGA-PBE
Structure: optimized geometry

Lattice parameters (Å, degrees): 5.4277 5.4277 10.7511 90.00 90.00 120.00
Closest atoms and distances in Å follow each position.
Fractional coordinates of all 18 atoms:
Nb 0.3333 0.6667 0.2500  6 O 2.03
Nb 0.6667 0.3333 0.7500  6 O 2.03
Sb 0.3333 0.6667 0.7500  6 O 2.02
Sb 0.6667 0.3333 0.2500  6 O 2.02
Pb 0.0000 0.0000 0.0000  6 O 2.61
Pb 0.0000 0.0000 0.5000  6 O 2.61
O 0.0016 0.3844 0.6464  1 Sb 2.02, 1 Nb 2.03
O 0.0016 0.6172 0.8536  1 Sb 2.02, 1 Nb 2.03
O 0.3828 0.3844 0.8536  1 Sb 2.02, 1 Nb 2.03
O 0.3828 0.9984 0.6464  1 Sb 2.02, 1 Nb 2.03
O 0.3844 0.0016 0.1464  1 Sb 2.02, 1 Nb 2.03
O 0.3844 0.3828 0.3536  1 Sb 2.02, 1 Nb 2.03
O 0.6156 0.6172 0.6464  1 Sb 2.02, 1 Nb 2.03
O 0.6156 0.9984 0.8536  1 Sb 2.02, 1 Nb 2.03
O 0.6172 0.0016 0.3536  1 Sb 2.02, 1 Nb 2.03
O 0.6172 0.6156 0.1464  1 Sb 2.02, 1 Nb 2.03
O 0.9984 0.3828 0.1464  1 Sb 2.02, 1 Nb 2.03
O 0.9984 0.6156 0.3536  1 Sb 2.02, 1 Nb 2.03

## Properties
E_form (uncorrected)	-42.1	kcal/mol of atoms
space group	P-31c (163)